[1]
Below is a relaxed TaPdO3 crystal, with properties calculated at the GGA-PBE level.

a = 3.9178 Å, b = 3.9178 Å, c = 3.9178 Å
α = 90.00°, β = 90.00°, γ = 90.00°
Space group Pm-3m (No. 221)
Unique sites:
Ta 0.0000 0.0000 0.0000 x1
Pd 0.5000 0.5000 0.5000 x1
O 0.0000 0.5000 0.5000 x3

Summary:
Its total energy is -31.24 eV per formula unit.

[2]
Below is a relaxed RbAg2Sn2 crystal, with properties calculated at the GGA-PBE level.

a = 5.0627 Å, b = 5.0627 Å, c = 11.1738 Å
α = 90.00°, β = 90.00°, γ = 90.00°
Space group I4/mmm (No. 139)
Unique sites:
Rb 0.0000 0.0000 0.0000 x2
Ag 0.0000 0.5000 0.2500 x4
Sn 0.0000 0.0000 0.3679 x4

Summary:
Its total energy is -15.02 eV per formula unit. As for the relative energy among the computed polymorphs: 0.0214 eV/atom.

[3]
Below is a relaxed SrAs2RhSe crystal, with properties calculated at the GGA-PBE level.

a = 4.6293 Å, b = 4.6293 Å, c = 6.3133 Å
α = 90.00°, β = 90.00°, γ = 90.00°
Space group P4/mmm (No. 123)
Unique sites:
Sr 0.0000 0.0000 0.0000 x1
As 0.0000 0.5000 0.5000 x2
Rh 0.0000 0.0000 0.5000 x1
Se 0.5000 0.5000 0.0000 x1

Summary:
Its total energy is -23.79 eV per formula unit. As for the relative energy among the computed polymorphs: 0.0283 eV/atom.

Repeat the first record exactly.
Below is a relaxed TaPdO3 crystal, with properties calculated at the GGA-PBE level.

a = 3.9178 Å, b = 3.9178 Å, c = 3.9178 Å
α = 90.00°, β = 90.00°, γ = 90.00°
Space group Pm-3m (No. 221)
Unique sites:
Ta 0.0000 0.0000 0.0000 x1
Pd 0.5000 0.5000 0.5000 x1
O 0.0000 0.5000 0.5000 x3

Summary:
Its total energy is -31.24 eV per formula unit.